# LaBeNiB PBE-GGA optimized geometry
# Raw total energy in eV/f.u.: -18.57
data_LaBeNiB
_space_group_name_H-M_alt 'P 1'
_space_group_IT_number 1
_cell_length_a 4.367
_cell_length_b 4.367
_cell_length_c 4.367
_cell_angle_alpha 60.00
_cell_angle_beta 60.00
_cell_angle_gamma 60.00
loop_
_space_group_symop_operation_xyz
'x,y,z'
loop_
_atom_site_label
_atom_site_type_symbol
_atom_site_fract_x
_atom_site_fract_y
_atom_site_fract_z
B1 B 0.500 0.500 0.500
Be1 Be 0.750 0.750 0.750
La1 La 0.000 0.000 0.000
Ni1 Ni 0.250 0.250 0.250

# LaBeBPd PBE-GGA optimized geometry
# Raw total energy in eV/f.u.: -19.72
data_LaBeBPd
_space_group_name_H-M_alt 'P 1'
_space_group_IT_number 1
_cell_length_a 4.470
_cell_length_b 4.470
_cell_length_c 4.470
_cell_angle_alpha 60.00
_cell_angle_beta 60.00
_cell_angle_gamma 60.00
loop_
_space_group_symop_operation_xyz
'x,y,z'
loop_
_atom_site_label
_atom_site_type_symbol
_atom_site_fract_x
_atom_site_fract_y
_atom_site_fract_z
B1 B 0.250 0.250 0.250
Be1 Be 0.750 0.750 0.750
La1 La 0.500 0.500 0.500
Pd1 Pd 0.000 0.000 0.000

# LaBeBPd PBE-GGA optimized geometry
# Raw total energy in eV/f.u.: -18.45
data_LaBeBPd
_space_group_name_H-M_alt 'P 1'
_space_group_IT_number 1
_cell_length_a 4.533
_cell_length_b 4.533
_cell_length_c 4.533
_cell_angle_alpha 60.00
_cell_angle_beta 60.00
_cell_angle_gamma 60.00
loop_
_space_group_symop_operation_xyz
'x,y,z'
loop_
_atom_site_label
_atom_site_type_symbol
_atom_site_fract_x
_atom_site_fract_y
_atom_site_fract_z
B1 B 0.000 0.000 0.000
Be1 Be 0.750 0.750 0.750
La1 La 0.500 0.500 0.500
Pd1 Pd 0.250 0.250 0.250

# LaBeBPd PBE-GGA optimized geometry
# Raw total energy in eV/f.u.: -19.12
data_LaBeBPd
_space_group_name_H-M_alt 'P 1'
_space_group_IT_number 1
_cell_length_a 4.579
_cell_length_b 4.579
_cell_length_c 4.579
_cell_angle_alpha 60.00
_cell_angle_beta 60.00
_cell_angle_gamma 60.00
loop_
_space_group_symop_operation_xyz
'x,y,z'
loop_
_atom_site_label
_atom_site_type_symbol
_atom_site_fract_x
_atom_site_fract_y
_atom_site_fract_z
B1 B 0.500 0.500 0.500
Be1 Be 0.750 0.750 0.750
La1 La 0.250 0.250 0.250
Pd1 Pd 0.000 0.000 0.000